Cu2SiRu: relaxed, PBE-GGA.

Structure (extended XYZ):
```
4
Lattice="1.374 0.793 7.981 -1.374 0.793 7.981 0.000 -1.586 7.981" Properties=species:S:1:pos:R:3 pbc="T T T"
Cu 0.000 0.000 0.000
Cu 0.000 0.000 5.955
Si 0.000 0.000 12.008
Ru 0.000 0.000 18.134
```

Output
ΔE_f (raw), kJ/mol of atoms: 0.7